[1]
Material: Dy4ScCd3
Method: DFT, PBE-GGA
State: relaxed

Results
ΔE_f = -0.193 eV per atom

Unit cell a=3.7593 b=5.2895 c=10.7308 alpha=90.00 beta=90.00 gamma=90.00
Last column: nearest neighbours and their distance in Å.
Fractional positions:
1 Sc 0.5000 0.5000 0.0000  8 Dy 3.24-3.33
2 Cd 0.5000 0.0000 0.2439  8 Dy 3.22-3.33
3 Cd 0.5000 0.5000 0.5000  8 Dy 3.23-3.24
4 Cd 0.5000 0.0000 0.7561  8 Dy 3.22-3.33
5 Dy 0.0000 0.0000 0.5000  8 Cd 3.24-3.33
6 Dy 0.0000 0.5000 0.7442  6 Cd 3.23-3.25, 2 Sc 3.33
7 Dy 0.0000 0.0000 0.0000  4 Cd 3.22, 4 Sc 3.24
8 Dy 0.0000 0.5000 0.2558  6 Cd 3.23-3.25, 2 Sc 3.33

[2]
Material: Dy3ScCd4
Method: DFT, PBE-GGA
State: relaxed

Results
ΔE_f = -0.306 eV per atom

Unit cell a=3.6794 b=3.6794 c=14.8832 alpha=90.00 beta=90.00 gamma=90.00
Last column: nearest neighbours and their distance in Å.
Fractional positions:
1 Sc 0.5000 0.5000 0.0000  8 Cd 3.09
2 Cd 0.0000 0.0000 0.8884  4 Sc 3.09, 4 Dy 3.26, 1 Cd 3.32
3 Cd 0.0000 0.0000 0.1116  4 Sc 3.09, 4 Dy 3.26, 1 Cd 3.32
4 Cd 0.0000 0.0000 0.3720  8 Dy 3.22-3.23
5 Cd 0.0000 0.0000 0.6280  8 Dy 3.22-3.23
6 Dy 0.5000 0.5000 0.2432  8 Cd 3.23-3.26
7 Dy 0.5000 0.5000 0.5000  8 Cd 3.22
8 Dy 0.5000 0.5000 0.7568  8 Cd 3.23-3.26

[3]
Material: DyScCd
Method: DFT, PBE-GGA
State: relaxed

Results
ΔE_f = -0.045 eV per atom

Unit cell a=3.4432 b=3.4432 c=7.9326 alpha=77.47 beta=77.47 gamma=60.00
Last column: nearest neighbours and their distance in Å.
Fractional positions:
1 Dy 0.3287 0.3287 0.0138  3 Cd 3.31, 3 Sc 3.32, 6 Dy 3.44
2 Sc 0.5464 0.5464 0.3607  3 Cd 3.09, 3 Dy 3.32, 6 Sc 3.44
3 Cd 0.1102 0.1102 0.6694  3 Sc 3.09, 3 Dy 3.31, 6 Cd 3.44

[4]
Material: DySc5Cd3
Method: DFT, PBE-GGA
State: relaxed

Results
ΔE_f = -0.173 eV per atom

Unit cell a=6.5251 b=8.7122 c=8.7116 alpha=120.00 beta=90.00 gamma=90.00
Last column: nearest neighbours and their distance in Å.
Fractional positions:
1 Dy 0.0000 0.0000 0.0000  2 Dy 3.26, 6 Cd 3.33-3.34, 6 Sc 3.38
2 Dy 0.5000 0.0000 0.0000  2 Dy 3.26, 6 Cd 3.33-3.34, 6 Sc 3.38
3 Sc 0.0000 0.6667 0.3333  8 Sc 3.26-3.31, 6 Cd 3.33
4 Sc 0.5000 0.3333 0.6667  8 Sc 3.26-3.31, 6 Cd 3.33
5 Sc 0.0000 0.3333 0.6667  8 Sc 3.26-3.31, 6 Cd 3.33
6 Sc 0.5000 0.6667 0.3333  8 Sc 3.26-3.31, 6 Cd 3.33
7 Sc 0.7500 0.6607 0.6607  3 Cd 2.85-2.93
8 Sc 0.7500 0.0000 0.3393  3 Cd 2.85-2.93
9 Sc 0.7500 0.3393 0.0000  3 Cd 2.85-2.93
10 Sc 0.2500 0.3393 0.3393  3 Cd 2.85-2.93
11 Sc 0.2500 0.0000 0.6607  3 Cd 2.85-2.93
12 Sc 0.2500 0.6607 0.0000  3 Cd 2.85-2.93
13 Cd 0.7500 0.3339 0.3339  3 Sc 2.85-2.93
14 Cd 0.7500 0.0000 0.6661  3 Sc 2.85-2.93
15 Cd 0.7500 0.6661 0.0000  3 Sc 2.85-2.93
16 Cd 0.2500 0.6661 0.6661  3 Sc 2.85-2.93
17 Cd 0.2500 0.0000 0.3339  3 Sc 2.85-2.93
18 Cd 0.2500 0.3339 0.0000  3 Sc 2.85-2.93

[5]
Material: DySc2Cd
Method: DFT, PBE-GGA
State: relaxed

Results
ΔE_f = 0.017 eV per atom

Unit cell a=5.1893 b=5.1893 c=5.1893 alpha=60.00 beta=60.00 gamma=60.00
Last column: nearest neighbours and their distance in Å.
Fractional positions:
1 Sc 0.2500 0.2500 0.2500  4 Dy 3.18, 4 Cd 3.18
2 Sc 0.7500 0.7500 0.7500  4 Cd 3.18, 4 Dy 3.18
3 Cd 0.5000 0.5000 0.5000  8 Sc 3.18
4 Dy 0.0000 0.0000 0.0000  8 Sc 3.18

[6]
Material: Dy2Sc2Cd
Method: DFT, PBE-GGA
State: relaxed

Results
ΔE_f = -0.054 eV per atom

Unit cell a=5.8613 b=6.3750 c=7.8449 alpha=76.23 beta=111.94 gamma=90.00
Last column: nearest neighbours and their distance in Å.
Fractional positions:
1 Dy 0.4894 0.9614 0.7937  3 Cd 3.27-3.46, 5 Sc 3.27-3.34, 4 Dy 3.35-3.48
2 Dy 0.3043 0.4614 0.7937  3 Cd 3.27-3.46, 5 Sc 3.27-3.34, 4 Dy 3.35-3.48
3 Dy 0.5106 0.0386 0.2063  3 Cd 3.27-3.46, 5 Sc 3.27-3.34, 4 Dy 3.35-3.48
4 Dy 0.6957 0.5386 0.2063  3 Cd 3.27-3.46, 5 Sc 3.27-3.34, 4 Dy 3.35-3.48
5 Sc 0.2820 0.3572 0.3919  2 Cd 3.25-3.28, 5 Dy 3.27-3.34, 5 Sc 3.31-3.44
6 Sc 0.8901 0.1428 0.6081  2 Cd 3.25-3.28, 5 Dy 3.27-3.34, 5 Sc 3.31-3.44
7 Sc 0.7180 0.6428 0.6081  2 Cd 3.25-3.28, 5 Dy 3.27-3.34, 5 Sc 3.31-3.44
8 Sc 0.1099 0.8572 0.3919  2 Cd 3.25-3.28, 5 Dy 3.27-3.34, 5 Sc 3.31-3.44
9 Cd 0.9182 0.2500 0.0000  4 Sc 3.25-3.28, 6 Dy 3.27-3.46, 2 Cd 3.33
10 Cd 0.0818 0.7500 0.0000  4 Sc 3.25-3.28, 6 Dy 3.27-3.46, 2 Cd 3.33

[7]
Material: Dy3Sc4Cd2
Method: DFT, PBE-GGA
State: relaxed

Results
ΔE_f = -0.074 eV per atom

Unit cell a=4.6008 b=7.5874 c=7.3395 alpha=106.99 beta=108.27 gamma=90.00
Last column: nearest neighbours and their distance in Å.
Fractional positions:
1 Dy 0.8861 0.3361 0.7723  7 Sc 3.25-3.35, 3 Cd 3.29-3.36, 2 Dy 3.38-3.39
2 Dy 0.1139 0.6639 0.2277  7 Sc 3.25-3.35, 3 Cd 3.29-3.36, 2 Dy 3.38-3.39
3 Dy 0.0000 0.0000 0.0000  4 Cd 3.29, 6 Sc 3.31-3.34, 2 Dy 3.39
4 Sc 0.5608 0.3357 0.1216  4 Sc 3.21-3.42, 6 Dy 3.30-3.35, 2 Cd 3.32-3.44
5 Sc 0.7795 0.6700 0.5590  5 Sc 3.21-3.36, 4 Dy 3.25-3.31, 3 Cd 3.30-3.34
6 Sc 0.4392 0.6643 0.8784  4 Sc 3.21-3.42, 6 Dy 3.30-3.35, 2 Cd 3.32-3.44
7 Sc 0.2205 0.3300 0.4410  5 Sc 3.21-3.36, 4 Dy 3.25-3.31, 3 Cd 3.30-3.34
8 Cd 0.3308 0.9973 0.6616  2 Cd 3.23, 5 Dy 3.29-3.36, 5 Sc 3.30-3.44
9 Cd 0.6692 0.0027 0.3384  2 Cd 3.23, 5 Dy 3.29-3.36, 5 Sc 3.30-3.44

[8]
Material: DySc2Cd8
Method: DFT, PBE-GGA
State: relaxed

Results
ΔE_f = -0.181 eV per atom

Unit cell a=5.2616 b=6.1548 c=8.7488 alpha=110.13 beta=106.97 gamma=91.43
Last column: nearest neighbours and their distance in Å.
Fractional positions:
1 Dy 0.5000 0.0000 0.0000  6 Cd 3.13-3.39
2 Sc 0.6868 0.6868 0.3737  12 Cd 3.09-3.21
3 Sc 0.3132 0.3132 0.6263  12 Cd 3.09-3.21
4 Cd 0.1240 0.3689 0.2687  5 Cd 2.89-3.10, 3 Sc 3.14-3.21
5 Cd 0.8553 0.1002 0.7313  5 Cd 2.89-3.10, 3 Sc 3.14-3.21
6 Cd 0.7476 0.5142 0.0000  2 Cd 2.61-2.67
7 Cd 0.7013 0.2013 0.4027  6 Cd 3.03-3.25, 4 Sc 3.09-3.15, 1 Dy 3.13
8 Cd 0.2987 0.7987 0.5973  6 Cd 3.03-3.25, 4 Sc 3.09-3.15, 1 Dy 3.13
9 Cd 0.2524 0.4858 0.0000  2 Cd 2.61-2.67
10 Cd 0.1447 0.8998 0.2687  5 Cd 2.89-3.10, 3 Sc 3.14-3.21
11 Cd 0.8760 0.6311 0.7313  5 Cd 2.89-3.10, 3 Sc 3.14-3.21

- Look up the ΔE_f of the first one.
  -0.193 eV per atom

- Among the records above, which one has the highest ΔE_f?
  DySc2Cd

- Which value of ΔE_f does entry 3 give?
  -0.045 eV per atom